# 1
{
  "formula": "K2RbTaBr6",
  "functional": "PBE",
  "state": "optimized geometry",
  "cell": [[0.000, 5.838, 5.838], [5.838, 0.000, 5.838], [5.838, 5.838, 0.000]],
  "species": ["Br", "Br", "Br", "Br", "Br", "Br", "K", "K", "Rb", "Ta"],
  "frac_coords": [[0.775, 0.225, 0.775], [0.225, 0.775, 0.775], [0.225, 0.225, 0.775], [0.775, 0.225, 0.225], [0.225, 0.775, 0.225], [0.775, 0.775, 0.225], [0.250, 0.250, 0.250], [0.750, 0.750, 0.750], [0.500, 0.500, 0.500], [0.000, 0.000, 0.000]],
  "dos_ef_per_ev_cell": 8.4
}

***

# 2
{
  "formula": "K2RbTbBr6",
  "functional": "PBE",
  "state": "optimized geometry",
  "cell": [[7.971, 0.000, 0.023], [0.000, 8.542, 0.000], [0.104, 0.000, 11.528]],
  "species": ["Br", "Br", "Br", "Br", "Br", "Br", "Br", "Br", "Br", "Br", "Br", "Br", "Tb", "Tb", "K", "K", "K", "K", "Rb", "Rb"],
  "frac_coords": [[0.343, 0.724, 0.416], [0.216, 0.173, 0.435], [0.356, 0.936, 0.721], [0.843, 0.776, 0.916], [0.856, 0.564, 0.221], [0.657, 0.276, 0.584], [0.644, 0.064, 0.279], [0.784, 0.827, 0.565], [0.144, 0.436, 0.779], [0.284, 0.673, 0.065], [0.157, 0.224, 0.084], [0.716, 0.327, 0.935], [0.000, 0.500, 0.000], [0.500, 0.000, 0.500], [0.534, 0.582, 0.756], [0.466, 0.418, 0.244], [0.966, 0.082, 0.744], [0.034, 0.918, 0.256], [0.500, 0.000, 0.000], [0.000, 0.500, 0.500]],
  "dos_ef_per_ev_cell": 0.0
}

***

# 3
{
  "formula": "KRbTcBr6",
  "functional": "PBE",
  "state": "optimized geometry",
  "cell": [[7.972, 0.000, 0.000], [-3.986, 6.904, 0.000], [0.000, 0.000, 13.071]],
  "species": ["Br", "Br", "Br", "Br", "Br", "Br", "Br", "Br", "Br", "Br", "Br", "Br", "Rb", "Rb", "Tc", "Tc", "K", "K"],
  "frac_coords": [[0.410, 0.072, 0.137], [0.410, 0.338, 0.363], [0.338, 0.928, 0.637], [0.338, 0.410, 0.863], [0.590, 0.662, 0.637], [0.928, 0.338, 0.137], [0.072, 0.410, 0.637], [0.928, 0.590, 0.363], [0.072, 0.662, 0.863], [0.662, 0.590, 0.137], [0.662, 0.072, 0.363], [0.590, 0.928, 0.863], [0.000, 0.000, 0.500], [0.000, 0.000, 0.000], [0.667, 0.333, 0.250], [0.333, 0.667, 0.750], [0.333, 0.667, 0.250], [0.667, 0.333, 0.750]]
}

***

# 4
{
  "formula": "KRb2TeBr6",
  "functional": "PBE",
  "state": "optimized geometry",
  "cell": [[8.258, 0.000, 0.000], [0.000, 8.258, 0.000], [4.129, 4.129, 6.403]],
  "species": ["Br", "Br", "Br", "Br", "Br", "Br", "Te", "Rb", "Rb", "K"],
  "frac_coords": [[0.232, 0.232, 0.000], [0.768, 0.232, 0.000], [0.232, 0.768, 0.000], [0.254, 0.254, 0.492], [0.746, 0.746, 0.508], [0.768, 0.768, 0.000], [0.000, 0.000, 0.000], [0.750, 0.250, 0.500], [0.250, 0.750, 0.500], [0.500, 0.500, 0.000]],
  "dos_ef_per_ev_cell": 0.0
}

***

# 5
{
  "formula": "KRb2ThBr8",
  "functional": "PBE",
  "state": "optimized geometry",
  "cell": [[-5.682, -0.753, -5.407], [4.403, -3.710, -4.048], [-2.902, -8.321, 4.279]],
  "species": ["Br", "Br", "Br", "Br", "Br", "Br", "Br", "Br", "Rb", "Rb", "Th", "K"],
  "frac_coords": [[0.687, 0.795, 0.996], [0.127, 0.762, 0.789], [0.880, 0.243, 0.784], [0.402, 0.171, 0.499], [0.313, 0.205, 0.004], [0.120, 0.757, 0.216], [0.598, 0.829, 0.501], [0.873, 0.238, 0.211], [0.501, 0.505, 0.242], [0.499, 0.495, 0.758], [0.000, 0.000, 0.000], [0.000, 0.000, 0.500]]
}

***

# 6
{
  "formula": "K2RbTiBr6",
  "functional": "PBE",
  "state": "optimized geometry",
  "cell": [[-6.662, -4.459, 0.206], [0.520, -7.948, 0.928], [-2.356, -3.361, 7.187]],
  "species": ["Br", "Br", "Br", "Br", "Br", "Br", "Rb", "Ti", "K", "K"],
  "frac_coords": [[0.541, 0.217, 0.238], [0.003, 0.541, 0.238], [0.217, 0.004, 0.238], [0.129, 0.424, 0.797], [0.650, 0.129, 0.797], [0.424, 0.650, 0.797], [0.816, 0.816, 0.552], [0.325, 0.325, 0.026], [0.533, 0.533, 0.401], [0.023, 0.023, 0.932]],
  "dos_ef_per_ev_cell": 7.0
}

***

# 7
{
  "formula": "KRbTiBr6",
  "functional": "PBE",
  "state": "optimized geometry",
  "cell": [[-6.580, -3.347, 2.672], [0.335, -5.190, 5.882], [-0.754, 5.115, 4.555]],
  "species": ["Br", "Br", "Br", "Br", "Br", "Br", "Rb", "K", "Ti"],
  "frac_coords": [[0.335, 0.070, 0.715], [0.596, 0.070, 0.286], [0.595, 0.335, 0.715], [0.335, 0.595, 0.285], [0.070, 0.335, 0.285], [0.070, 0.596, 0.714], [0.000, 0.000, 0.000], [0.666, 0.666, 0.500], [0.333, 0.333, 0.500]],
  "dos_ef_per_ev_cell": 0.0
}

***

# 8
{
  "formula": "KRb2TlBr5",
  "functional": "PBE",
  "state": "optimized geometry",
  "cell": [[-4.504, -2.233, -0.782], [4.997, -6.465, 6.229], [-5.276, 6.718, 11.206]],
  "species": ["Br", "Br", "Br", "Br", "Br", "Br", "Br", "Br", "Br", "Br", "Rb", "Rb", "Rb", "Rb", "Tl", "Tl", "K", "K"],
  "frac_coords": [[0.713, 0.425, 0.171], [0.511, 0.022, 0.265], [0.672, 0.345, 0.871], [0.044, 0.089, 0.041], [0.489, 0.978, 0.765], [0.956, 0.911, 0.541], [0.328, 0.655, 0.371], [0.622, 0.244, 0.502], [0.287, 0.575, 0.671], [0.378, 0.756, 0.002], [0.884, 0.768, 0.190], [0.116, 0.232, 0.690], [0.857, 0.714, 0.811], [0.143, 0.286, 0.311], [0.532, 0.064, 0.955], [0.468, 0.936, 0.455], [0.786, 0.572, 0.519], [0.214, 0.428, 0.019]],
  "dos_ef_per_ev_cell": 2.8
}

***

| no. | calculated total energy (eV for the cell shown) | E_form (uncorrected) (meV per atom) |
| --- | --- | --- |
| 1 | -37.13 | -1208 |
| 2 | -72.20 | -1827 |
| 3 | -63.00 | -1004 |
| 4 | -27.02 | -1081 |
| 5 | -42.72 | -1574 |
| 6 | -36.15 | -1506 |
| 7 | -32.71 | -1412 |
| 8 | -51.62 | -1339 |